No. 1
First-principles (GGA-PBE) data for an optimized crystal structure of In2FeIr, as listed in Alexandria via LeMat-Bulk.

Structure (CIF):
```
data_In2FeIr
_chemical_formula_sum 'In2 Fe1 Ir1'
_cell_length_a 8.8510
_cell_length_b 8.8510
_cell_length_c 8.8510
_cell_angle_alpha 19.84
_cell_angle_beta 19.84
_cell_angle_gamma 19.84
_symmetry_space_group_name_H-M 'P 1'
_symmetry_Int_Tables_number 1
_symmetry_space_group_name_Hall 'P 1'
loop_
_atom_site_label
_atom_site_fract_x
_atom_site_fract_y
_atom_site_fract_z
Fe1 0.7500 0.7500 0.7500
In1 0.0001 0.0001 0.0001
In2 0.4999 0.4999 0.4999
Ir1 0.2500 0.2500 0.2500
```

Final energy = -5.4333 eV/atom
Theoretical density = 11.4 g/cm3
Calculated formation energy = 0.2669 eV/atom

---

No. 2
First-principles (GGA-PBE) data for an optimized crystal structure of Ho3Er4Sb2, as listed in Alexandria via LeMat-Bulk.

Structure (CIF):
```
data_Ho3Er4Sb2
_chemical_formula_sum 'Ho3 Er4 Sb2'
_cell_length_a 4.2710
_cell_length_b 7.7261
_cell_length_c 9.1512
_cell_angle_alpha 113.49
_cell_angle_beta 90.00
_cell_angle_gamma 106.05
_symmetry_space_group_name_H-M 'P 1'
_symmetry_Int_Tables_number 1
_symmetry_space_group_name_Hall 'P 1'
loop_
_atom_site_label
_atom_site_fract_x
_atom_site_fract_y
_atom_site_fract_z
Ho1 0.3879 0.7757 0.6372
Ho2 0.0000 0.0000 0.0000
Ho3 0.6121 0.2243 0.3628
Er1 0.6631 0.3262 0.9888
Er2 0.0959 0.1919 0.6721
Er3 0.9041 0.8081 0.3279
Er4 0.3369 0.6738 0.0112
Sb1 0.2354 0.4708 0.2694
Sb2 0.7646 0.5292 0.7306
```

Final energy = -4.9105 eV/atom
Theoretical density = 8.9 g/cm3
Formation energy (no corrections) = -441 meV/atom